Sr4I2O (PBE, relaxed); calculated total energy = -3.2990 eV/atom
1.0
4.913 0.000 0.000
0.000 4.913 0.000
2.456 2.456 11.583
Sr O I
4 1 2
Direct
0.847 0.847 0.305
0.153 0.153 0.695
0.000 0.500 0.000
0.500 0.000 0.000
0.000 0.000 0.000
0.700 0.700 0.601
0.300 0.300 0.399



SrI2O2 (PBE, relaxed); ΔE to the lowest computed polymorph = 554 meV/atom
1.0
-1.196 3.121 -2.813
-3.154 1.266 2.745
4.442 4.452 3.051
I O Sr
2 2 1
Direct
0.000 0.000 0.500
0.000 0.000 0.000
0.000 0.500 0.000
0.500 0.000 0.000
0.500 0.500 0.500



Here are the calculated size of the total moment numbers, same order: 1.862; 0.000 (μB per cell).